Entry 1:
Ag2WBr: optimized geometry, PBEsol.

For the total magnetic moment, the calculation gives 0.000 μB per atom. For the raw formation energy, the calculation gives 570.2 meV/atom. Its polymorph energy (0 for the lowest one) is 0.000 eV per atom. The total energy comes out at -5.00 eV/atom.

Unit cell a=3.0861 b=4.8185 c=9.5426 alpha=90.00 beta=90.00 gamma=90.00
With the nearest neighbours (Å) after each atom.
Space group Cmmm (No. 65)
Inequivalent atoms, fractional coordinates:
Ag  0.0000  0.0000  0.2413  2 W 2.77, 6 Ag 2.86-3.09, 2 Br 2.91
W  0.0000  0.5000  0.0000  4 Ag 2.77, 6 W 2.86-3.09
Br  0.0000  0.5000  0.5000  6 Br 2.86-3.09, 4 Ag 2.91



Entry 2:
CaTcPt2: optimized geometry, PBEsol.

For the total magnetic moment, the calculation gives 0.000 μB per atom. Its polymorph energy (0 for the lowest one) is 0.277 eV per atom. The total energy comes out at -6.80 eV/atom. The value obtained for the formation energy is 31 meV per atom.

Unit cell a=4.0036 b=4.0036 c=8.1267 alpha=90.00 beta=90.00 gamma=90.00
With the nearest neighbours (Å) after each atom.
Space group I-4m2 (No. 119)
Inequivalent atoms, fractional coordinates:
Ca  0.0000  0.0000  0.0000  8 Pt 2.83-2.85, 4 Tc 2.85
Tc  0.0000  0.5000  0.2500  8 Pt 2.83-2.85, 4 Ca 2.85
Pt  0.0000  0.0000  0.5000  4 Ca 2.83, 4 Tc 2.85, 4 Pt 2.85
Pt  0.0000  0.5000  0.7500  4 Tc 2.83, 4 Pt 2.85, 4 Ca 2.85